Model P:
Here is a relaxed structure of LaGeI2O from Alexandria. Energies are from PBE-GGA.

Summary:
- calculated volume (A^3/atom) = 36.51

abc: 6.528 6.528 4.283
angles: 90.00 90.00 90.00
Space group P4/mmm (No. 123)
Asymmetric unit:
La 0.000 0.000 0.000 [1 per cell]
Ge 0.500 0.500 0.500 [1 per cell]
I 0.000 0.500 0.000 [2 per cell]
O 0.000 0.000 0.500 [1 per cell]

Model Q:
Here is a relaxed structure of LaGeI2O from Alexandria. Energies are from PBE-GGA.

Summary:
- calculated volume (A^3/atom) = 28.40

abc: 6.049 6.049 3.880
angles: 90.00 90.00 90.00
Space group P4/mmm (No. 123)
Asymmetric unit:
La 0.000 0.000 0.000 [1 per cell]
Ge 0.500 0.500 0.500 [1 per cell]
I 0.000 0.500 0.500 [2 per cell]
O 0.500 0.500 0.000 [1 per cell]

Quick look at relative energies in kJ/mol of atoms: model P 0.0; model Q 28.4.

Model P:
Here is a relaxed structure of LaGeIO2 from Alexandria. Energies are from PBE-GGA.

Summary:
- calculated volume (A^3/atom) = 20.17

abc: 4.342 4.342 5.350
angles: 90.00 90.00 90.00
Space group P4/mmm (No. 123)
Asymmetric unit:
La 0.000 0.000 0.000 [1 per cell]
Ge 0.500 0.500 0.500 [1 per cell]
I 0.500 0.500 0.000 [1 per cell]
O 0.000 0.500 0.500 [2 per cell]

Model Q:
Here is a relaxed structure of LaGeIO2 from Alexandria. Energies are from PBE-GGA.

Summary:
- calculated volume (A^3/atom) = 27.59

abc: 4.448 4.448 6.971
angles: 90.00 90.00 90.00
Space group P4/mmm (No. 123)
Asymmetric unit:
La 0.000 0.000 0.000 [1 per cell]
Ge 0.500 0.500 0.500 [1 per cell]
I 0.000 0.000 0.500 [1 per cell]
O 0.000 0.500 0.000 [2 per cell]

Quick look at relative energies in kJ/mol of atoms: model P 23.5; model Q 0.0.